(1)
The following is a DFT calculation (PBE-GGA) of a geometry-optimized Sr3Li11 structure.

The formation enthalpy at 0 K is 0.468 eV/f.u. As for the space-group type: Immm (71). For the density, the calculation gives 1420 kg/m³.

Lattice parameters (Å, degrees): 5.002 9.420 9.420 71.02 74.60 74.60
Sites, in units of the cell vectors:
Li (0.879, 0.400, 0.843)
Sr (0.693, 0.307, 0.307)
Li (0.323, 0.328, 0.027)
Li (0.500, 0.290, 0.710)
Li (0.879, 0.843, 0.400)
Li (0.323, 0.027, 0.328)
Sr (0.000, 0.000, 0.000)
Li (0.121, 0.600, 0.157)
Sr (0.307, 0.693, 0.693)
Li (0.000, 0.500, 0.500)
Li (0.677, 0.672, 0.973)
Li (0.677, 0.973, 0.672)
Li (0.500, 0.710, 0.290)
Li (0.121, 0.157, 0.600)

---

(2)
The following is a DFT calculation (PBE-GGA) of a geometry-optimized Cr2Ir2S structure.

As for the space-group type: P4/mbm (127). For the energy above the lowest structure with this stoichiometry, the calculation gives 0 meV per atom. The energy relative to the elements, uncorrected is 0.285 eV/atom. For the density, the calculation gives 11714 kg/m³.

Lattice parameters (Å, degrees): 7.364 7.364 2.722 90.00 90.00 90.00
Site moments in Bohr magnetons follow the coordinates.
Sites, in units of the cell vectors:
Cr (0.340, 0.160, 0.500)  1.58
Cr (0.160, 0.660, 0.500)  1.61
Ir (0.866, 0.634, 0.000)  -0.23
Cr (0.660, 0.840, 0.500)  1.58
S (0.500, 0.500, 0.000)  -0.01
Cr (0.840, 0.340, 0.500)  1.61
Ir (0.634, 0.134, 0.000)  -0.22
S (0.000, 0.000, 0.000)  -0.01
Ir (0.366, 0.866, 0.000)  -0.22
Ir (0.134, 0.366, 0.000)  -0.23

---

(3)
The following is a DFT calculation (PBE-GGA) of a geometry-optimized DyU2S5 structure.

As for the space-group type: Pnma (62). The energy relative to the elements, uncorrected is -1.596 eV/atom. For the density, the calculation gives 7821 kg/m³.

Lattice parameters (Å, degrees): 7.355 7.835 11.773 90.00 90.00 90.00
Site moments in Bohr magnetons follow the coordinates.
Sites, in units of the cell vectors:
U (0.013, 0.999, 0.319)  2.39
U (0.513, 0.499, 0.181)  2.39
U (0.987, 0.001, 0.681)  2.39
Dy (0.078, 0.250, 0.006)  0.03
S (0.662, 0.042, 0.395)  -0.05
S (0.338, 0.958, 0.605)  -0.05
Dy (0.578, 0.750, 0.494)  0.03
U (0.487, 0.501, 0.819)  2.39
S (0.838, 0.042, 0.895)  -0.05
S (0.795, 0.750, 0.215)  -0.07
S (0.705, 0.750, 0.715)  -0.07
S (0.823, 0.250, 0.186)  -0.07
Dy (0.922, 0.750, 0.994)  0.03
S (0.162, 0.958, 0.105)  -0.05
S (0.677, 0.250, 0.686)  -0.07
U (0.513, 0.001, 0.181)  2.39
S (0.466, 0.250, 0.001)  -0.07
S (0.662, 0.458, 0.395)  -0.05
S (0.034, 0.250, 0.501)  -0.07
S (0.323, 0.750, 0.314)  -0.07
Dy (0.422, 0.250, 0.506)  0.03
S (0.177, 0.750, 0.814)  -0.07
S (0.534, 0.750, 0.999)  -0.07
S (0.338, 0.542, 0.605)  -0.05
U (0.013, 0.501, 0.319)  2.39
S (0.295, 0.250, 0.285)  -0.07
S (0.205, 0.250, 0.785)  -0.07
S (0.966, 0.750, 0.499)  -0.07
S (0.838, 0.458, 0.895)  -0.05
U (0.987, 0.499, 0.681)  2.39
U (0.487, 0.999, 0.819)  2.39
S (0.162, 0.542, 0.105)  -0.05

---

Number 2 is which compound? Cr2Ir2S